First-principles (PBE with a Hubbard U) data for a relaxed LiMn2O4 crystal, as listed in the Alexandria database. Values from VASP.

Geometry as Quantum ESPRESSO input:
```
&SYSTEM
  ibrav = 0, nat = 14, ntyp = 3
/
ATOMIC_SPECIES
O 16.00 O.upf
Mn 54.94 Mn.upf
Li 6.94 Li.upf
ATOMIC_POSITIONS crystal
O 0.2629 0.2629 0.2629
O 0.7453 0.2959 0.7453
O 0.2516 0.7082 0.2516
O 0.2959 0.7453 0.7453
O 0.2516 0.2516 0.7082
O 0.7082 0.2516 0.2516
O 0.7453 0.7453 0.2959
O 0.7392 0.7392 0.7392
Mn 0.8822 0.8822 0.8822
Mn 0.4992 0.0057 0.4992
Mn 0.4992 0.4992 0.0057
Mn 0.0057 0.4992 0.4992
Li 0.1144 0.1144 0.1144
Li 0.4994 0.4994 0.4994
CELL_PARAMETERS angstrom
-5.0738 2.3444 2.0314
-3.9670 -3.4006 2.8398
-0.8927 0.6503 5.8434
```

## Properties
ΔE to the lowest computed polymorph ... 46 meV/atom
Total energy ... -96.0 eV for the cell shown
Theoretical density ... 4.080 g cm⁻³
V ... 10.51 Å³ per atom